MnAgPCl2: optimized geometry, GGA-PBEsol.

Cell lengths 4.731, 4.567, 4.567 Å; angles 90.00, 90.00, 90.00 degrees
Site moments in Bohr magnetons follow the coordinates.
Positions (direct):
Cl 0.000 0.500 0.000  0.01
Cl 0.000 0.000 0.500  0.01
Mn 0.000 0.000 0.000  3.23
P 0.500 0.000 0.000  -0.28
Ag 0.500 0.500 0.500  0.01

Computed properties:
Magnetic moment ... 2.92 Bohr magnetons per cell
Calculated total energy ... -4.469 eV/atom
Formation energy (no corrections) ... 0.1066 eV per atom



MnAg2PbCl: optimized geometry, GGA-PBEsol.

Cell lengths 4.378, 5.093, 5.093 Å; angles 90.00, 90.00, 90.00 degrees
Site moments in Bohr magnetons follow the coordinates.
Positions (direct):
Mn 0.000 0.000 0.000  3.53
Ag 0.000 0.000 0.500  0.04
Ag 0.000 0.500 0.000  0.04
Pb 0.500 0.500 0.500  -0.01
Cl 0.500 0.000 0.000  0.07

Computed properties:
Magnetic moment ... 3.85 Bohr magnetons per cell
Calculated total energy ... -4.035 eV/atom
Formation energy (no corrections) ... 0.4433 eV per atom



MnAgSCl2: optimized geometry, GGA-PBEsol.

Cell lengths 4.790, 4.790, 4.903 Å; angles 90.00, 90.00, 90.00 degrees
Site moments in Bohr magnetons follow the coordinates.
Positions (direct):
Mn 0.500 0.500 0.500  4.66
Ag 0.000 0.000 0.000  0.00
Cl 0.500 0.000 0.000  0.03
Cl 0.000 0.500 0.000  0.03
S 0.000 0.000 0.500  0.02

Computed properties:
Magnetic moment ... 5.22 Bohr magnetons per cell
Calculated total energy ... -4.003 eV/atom
Formation energy (no corrections) ... 0.2915 eV per atom



AgMoCl: optimized geometry, GGA-PBEsol.

Cell lengths 4.168, 4.168, 4.168 Å; angles 60.00, 60.00, 60.00 degrees
Positions (direct):
Ag 0.500 0.500 0.500
Mo 0.000 0.000 0.000
Cl 0.750 0.750 0.750

Computed properties:
Magnetic moment ... 0.00 Bohr magnetons per cell
Calculated total energy ... -4.464 eV/atom
Formation energy (no corrections) ... 1.2314 eV per atom



AgMoCl2: optimized geometry, GGA-PBEsol.

Cell lengths 2.915, 5.349, 6.493 Å; angles 114.09, 90.00, 105.82 degrees
Positions (direct):
Cl 0.849 0.699 0.307
Cl 0.020 0.040 0.943
Mo 0.447 0.894 0.625
Ag 0.183 0.367 0.625

Computed properties:
Energy above the most stable polymorph in this dataset ... 0.0 meV per atom
Magnetic moment ... 0.01 Bohr magnetons per cell
Calculated total energy ... -4.814 eV/atom
Formation energy (no corrections) ... -0.0402 eV per atom



Ag3MoCl: optimized geometry, GGA-PBEsol.

Cell lengths 4.819, 4.819, 4.819 Å; angles 90.00, 90.00, 90.00 degrees
Site moments in Bohr magnetons follow the coordinates.
Positions (direct):
Cl 0.000 0.000 0.000  0.08
Ag 0.500 0.000 0.000  0.05
Ag 0.000 0.500 0.000  0.05
Ag 0.000 0.000 0.500  0.05
Mo 0.500 0.500 0.500  3.68

Computed properties:
Magnetic moment ... 4.65 Bohr magnetons per cell
Calculated total energy ... -3.323 eV/atom
Formation energy (no corrections) ... 1.4190 eV per atom